(1)
A plane-wave DFT calculation with PBE-GGA was carried out for a relaxed structure of LaErSn.

Cell and atoms, written as POSCAR:
```
LaErSn
1.0
4.431 -2.584 0.000
4.431 2.584 0.000
-0.097 0.000 7.861
La Er Sn
2 2 2
direct
0.167 0.167 0.389
0.833 0.833 0.611
0.167 0.167 0.902
0.833 0.833 0.098
0.500 0.500 0.216
0.500 0.500 0.784
```

Summary:
Energy above the most stable polymorph in this dataset (eV per formula unit): 0.74
VASP energy (eV for the cell shown): -29.3
Magnetization (μB per formula unit): 0.000

***

(2)
A plane-wave DFT calculation with PBE-GGA was carried out for a relaxed structure of SrLaEr.

Cell and atoms, written as POSCAR:
```
SrLaEr
1.0
3.785 0.000 0.000
-1.892 3.278 0.000
0.000 0.000 9.420
Sr La Er
1 1 1
direct
0.000 0.000 0.000
0.333 0.667 0.633
0.667 0.333 0.340
```

Summary:
Energy above the most stable polymorph in this dataset (eV per formula unit): 0.04
VASP energy (eV for the cell shown): -10.8
Magnetization (μB per formula unit): 0.000